Density functional theory data (GGA-PBE) for crystalline NaMg2ZrPt at its relaxed geometry.

The structure in extended XYZ format:
```
5
Lattice="-0.935 -5.495 1.166 4.843 -0.924 -0.467 0.736 1.052 5.548" Properties=species:S:1:pos:R:3 pbc="T T T"
Mg 0.368 0.526 2.774
Pt 2.422 -0.462 -0.234
Zr 0.000 0.000 0.000
Na 2.322 -2.683 3.123
Mg -0.468 -2.747 0.583
```

Values from the calculation:
volume = 160.61 Å³ per cell
calculated formation energy = 272 kJ/mol of formula units
E = -16.28 eV for the cell shown

Density functional theory data (GGA-PBE) for crystalline NaPuMg2 at its relaxed geometry.

The structure in extended XYZ format:
```
4
Lattice="3.224 0.000 0.000 1.612 2.792 0.000 1.612 0.931 11.644" Properties=species:S:1:pos:R:3 pbc="T T T"
Pu 0.000 0.000 0.000
Na 3.224 1.862 5.822
Mg 1.612 0.931 2.847
Mg 4.836 2.792 8.796
```

Values from the calculation:
volume = 104.83 Å³ per cell
calculated formation energy = 56 kJ/mol of formula units
E = -18.26 eV for the cell shown

no.,total moment (μB per cell)
1,0.00
2,5.75